The following is a PBE calculation of a geometry-optimized AlReSe2N structure, from Alexandria.

Cell: 5.0978 5.0978 3.7270 Å, 90.00 90.00 90.00°
Space group P4/mmm (No. 123)
Asymmetric unit:
1 Al 0.0000 0.0000 0.0000
2 Re 0.5000 0.5000 0.5000
3 Se 0.0000 0.5000 0.5000
4 N 0.5000 0.5000 0.0000

Calculated values
- D(E_F) (states/eV per cell) = 3.62
- total DFT energy (no corrections) (eV/atom) = -6.02
- offset from the most stable computed form (meV/atom) = 0
- ΔE_f (raw) (eV per atom) = 0.28

The following is a PBE calculation of a geometry-optimized LaGaAgHg structure, from Alexandria.

Cell: 7.2088 7.2088 7.2088 Å, 90.00 90.00 90.00°
Space group F-43m (No. 216)
Asymmetric unit:
1 La 0.0000 0.0000 0.0000
2 Ga 0.2500 0.2500 0.7500
3 Ag 0.0000 0.0000 0.5000
4 Hg 0.2500 0.2500 0.2500

Calculated values
- D(E_F) (states/eV per cell) = 9.03
- total DFT energy (no corrections) (eV/atom) = -3.15
- ΔE_f (eV per atom) = -0.369

The following is a PBE calculation of a geometry-optimized CsCd4Sn structure, from Alexandria.

Cell: 8.9325 8.9325 8.9325 Å, 90.00 90.00 90.00°
Space group F-43m (No. 216)
Asymmetric unit:
1 Cs 0.0000 0.0000 0.0000
2 Cd 0.1245 0.1245 0.3755
3 Sn 0.2500 0.2500 0.7500

Calculated values
- D(E_F) (states/eV per cell) = 5.85
- total DFT energy (no corrections) (eV/atom) = -1.38
- ΔE_f (eV per atom) = 0.043

The following is a PBE calculation of a geometry-optimized TbRuRhPb structure, from Alexandria.

Cell: 6.7171 6.7171 6.7171 Å, 90.00 90.00 90.00°
Space group F-43m (No. 216)
Asymmetric unit:
1 Tb 0.0000 0.0000 0.0000
2 Ru 0.2500 0.2500 0.7500
3 Rh 0.2500 0.2500 0.2500
4 Pb 0.0000 0.0000 0.5000

Calculated values
- D(E_F) (states/eV per cell) = 3.30
- total DFT energy (no corrections) (eV/atom) = -6.59
- ΔE_f (eV per atom) = -0.351

The following is a PBE calculation of a geometry-optimized NaBeTlCl4 structure, from Alexandria.

Cell: 6.5463 6.8605 8.5462 Å, 90.00 108.21 90.00°
Space group P2_1/m (No. 11)
Asymmetric unit:
1 Na 0.2285 0.2500 0.0511
2 Be 0.2166 0.7500 0.8175
3 Tl 0.2713 0.2500 0.5755
4 Cl 0.0170 0.5132 0.7740
5 Cl 0.3969 0.7500 0.6613
6 Cl 0.4058 0.7500 0.0546

Calculated values
- D(E_F) (states/eV per cell) = 0.00
- total DFT energy (no corrections) (eV/atom) = -3.56
- ΔE_f (raw) (eV per atom) = -1.44

The following is a PBE calculation of a geometry-optimized Al2IrSe structure, from Alexandria.

Cell: 4.0042 4.0042 8.0145 Å, 90.00 90.00 90.00°
Space group I-4m2 (No. 119)
Asymmetric unit:
1 Al 0.0000 0.0000 0.0000
2 Al 0.0000 0.5000 0.2500
3 Ir 0.0000 0.5000 0.7500
4 Se 0.0000 0.0000 0.5000

Calculated values
- D(E_F) (states/eV per cell) = 3.19
- total DFT energy (no corrections) (eV/atom) = -4.93
- ΔE_f (raw) (eV per atom) = 0.03

The following is a PBE calculation of a geometry-optimized Pr3Nd2Dy structure, from Alexandria.

Cell: 6.8424 18.0998 3.4667 Å, 90.00 90.00 90.00°
Space group Pnnm (No. 58)
Asymmetric unit:
1 Pr 0.0000 0.0000 0.0000
2 Pr 0.2380 0.3197 0.0000
3 Nd 0.2327 0.1493 0.5000
4 Dy 0.0000 0.5000 0.0000

Calculated values
- D(E_F) (states/eV per cell) = 21.15
- total DFT energy (no corrections) (eV/atom) = -4.51
- ΔE_f (eV per atom) = 0.238
- offset from the most stable computed form (meV/atom) = 133

The following is a PBE calculation of a geometry-optimized CaNiRh2 structure, from Alexandria.

Cell: 2.9393 4.5923 9.5844 Å, 90.00 90.00 90.00°
Space group Imm2 (No. 44)
Asymmetric unit:
1 Ca 0.0000 0.0000 0.0000
2 Ni 0.0000 0.5000 0.7707
3 Rh 0.0000 0.0000 0.4894
4 Rh 0.0000 0.5000 0.2242

Calculated values
- D(E_F) (states/eV per cell) = 11.94
- total DFT energy (no corrections) (eV/atom) = -5.55
- ΔE_f (eV per atom) = 0.069
- offset from the most stable computed form (meV/atom) = 66

The following is a PBE calculation of a geometry-optimized Pr2AgGe4Au3 structure, from Alexandria.

Cell: 4.4519 4.4519 10.7362 Å, 90.00 90.00 90.00°
Space group P-4m2 (No. 115)
Asymmetric unit:
1 Pr 0.0000 0.5000 0.2471
2 Ag 0.5000 0.5000 0.0000
3 Ge 0.0000 0.0000 0.5000
4 Ge 0.0000 0.5000 0.8658
5 Ge 0.5000 0.5000 0.5000
6 Au 0.0000 0.0000 0.0000
7 Au 0.0000 0.5000 0.6322

Calculated values
- D(E_F) (states/eV per cell) = 3.13
- total DFT energy (no corrections) (eV/atom) = -4.59
- ΔE_f (eV per atom) = -0.522

The following is a PBE calculation of a geometry-optimized Ba2SbPb structure, from Alexandria.

Cell: 8.4193 8.4193 8.4193 Å, 90.00 90.00 90.00°
Space group F-43m (No. 216)
Asymmetric unit:
1 Ba 0.0000 0.0000 0.0000
2 Ba 0.2500 0.2500 0.2500
3 Sb 0.0000 0.0000 0.5000
4 Pb 0.2500 0.2500 0.7500

Calculated values
- D(E_F) (states/eV per cell) = 20.65
- total DFT energy (no corrections) (eV/atom) = -3.24
- offset from the most stable computed form (meV/atom) = 404
- ΔE_f (raw) (eV per atom) = -0.32

The following is a PBE calculation of a geometry-optimized SrAcLa2S4 structure, from Alexandria.

Cell: 7.3184 4.1993 7.3278 Å, 90.00 109.14 90.00°
Space group P2/m (No. 10)
Asymmetric unit:
1 Sr 0.0000 0.0000 0.0000
2 Ac 0.5000 0.5000 0.0000
3 La 0.0000 0.5000 0.5000
4 La 0.5000 0.0000 0.5000
5 S 0.2440 0.0000 0.7431
6 S 0.2493 0.5000 0.2557

Calculated values
- D(E_F) (states/eV per cell) = 4.00
- total DFT energy (no corrections) (eV/atom) = -6.11
- ΔE_f (raw) (eV per atom) = -2.09

The following is a PBE calculation of a geometry-optimized Ba2USe2O2 structure, from Alexandria.

Cell: 4.5279 4.5279 17.1776 Å, 90.00 90.00 90.00°
Space group I4/mmm (No. 139)
Asymmetric unit:
1 Ba 0.0000 0.0000 0.1358
2 U 0.0000 0.0000 0.5000
3 Se 0.0000 0.0000 0.3306
4 O 0.0000 0.5000 0.0000

Calculated values
- D(E_F) (states/eV per cell) = 13.06
- total DFT energy (no corrections) (eV/atom) = -6.99
- ΔE_f (raw) (eV per atom) = -2.41

The following is a PBE calculation of a geometry-optimized SrTaPb2 structure, from Alexandria.

Cell: 3.9870 3.9870 25.7103 Å, 90.00 90.00 120.00°
Space group R-3m (No. 166, hexagonal axes)
Asymmetric unit:
1 Sr 0.0000 0.0000 0.0000
2 Ta 0.0000 0.0000 0.5000
3 Pb 0.0000 0.0000 0.2373

Calculated values
- D(E_F) (states/eV per cell) = 8.28
- total DFT energy (no corrections) (eV/atom) = -4.94
- ΔE_f (eV per atom) = 0.293

The following is a PBE calculation of a geometry-optimized CrOsPb2 structure, from Alexandria.

Cell: 6.8183 6.8183 6.8183 Å, 90.00 90.00 90.00°
Space group Fm-3m (No. 225)
Asymmetric unit:
1 Cr 0.0000 0.0000 0.0000
2 Os 0.0000 0.0000 0.5000
3 Pb 0.2500 0.2500 0.2500

Calculated values
- D(E_F) (states/eV per cell) = 13.77
- total DFT energy (no corrections) (eV/atom) = -6.25
- ΔE_f (eV per atom) = 0.820
- offset from the most stable computed form (meV/atom) = 419

The following is a PBE calculation of a geometry-optimized SmYPu2P4 structure, from Alexandria.

Cell: 6.9542 4.0316 6.9636 Å, 90.00 109.66 90.00°
Space group P2/m (No. 10)
Asymmetric unit:
1 Sm 0.0000 0.0000 0.0000
2 Y 0.0000 0.5000 0.5000
3 Pu 0.5000 0.0000 0.5000
4 Pu 0.5000 0.5000 0.0000
5 P 0.2570 0.0000 0.7507
6 P 0.2591 0.5000 0.2570

Calculated values
- D(E_F) (states/eV per cell) = 24.12
- total DFT energy (no corrections) (eV/atom) = -9.03
- ΔE_f (eV per atom) = -1.342

The following is a PBE calculation of a geometry-optimized Na2CuSnBr structure, from Alexandria.

Cell: 5.4515 5.4515 4.7976 Å, 90.00 90.00 90.00°
Space group P4/mmm (No. 123)
Asymmetric unit:
1 Na 0.0000 0.5000 0.0000
2 Cu 0.0000 0.0000 0.5000
3 Sn 0.5000 0.5000 0.5000
4 Br 0.0000 0.0000 0.0000

Calculated values
- D(E_F) (states/eV per cell) = 3.65
- total DFT energy (no corrections) (eV/atom) = -2.48
- ΔE_f (raw) (eV per atom) = 0.00

The following is a PBE calculation of a geometry-optimized LiCrW3 structure, from Alexandria.

Cell: 4.5351 4.5351 4.5351 Å, 90.00 90.00 90.00°
Space group Pm-3m (No. 221)
Asymmetric unit:
1 Li 0.0000 0.0000 0.0000
2 Cr 0.5000 0.5000 0.5000
3 W 0.0000 0.5000 0.5000

Calculated values
- D(E_F) (states/eV per cell) = 4.69
- total DFT energy (no corrections) (eV/atom) = -8.55
- ΔE_f (eV per atom) = 1.525
- offset from the most stable computed form (meV/atom) = 0

The following is a PBE calculation of a geometry-optimized PuZrTlHg structure, from Alexandria.

Cell: 7.3700 7.3700 7.3700 Å, 90.00 90.00 90.00°
Space group F-43m (No. 216)
Asymmetric unit:
1 Pu 0.0000 0.0000 0.0000
2 Zr 0.0000 0.0000 0.5000
3 Tl 0.2500 0.2500 0.7500
4 Hg 0.2500 0.2500 0.2500

Calculated values
- D(E_F) (states/eV per cell) = 40.27
- total DFT energy (no corrections) (eV/atom) = -6.37
- ΔE_f (eV per atom) = 0.013

The following is a PBE calculation of a geometry-optimized PaPd3Pt2 structure, from Alexandria.

Cell: 7.3142 7.9132 7.3313 Å, 90.00 99.39 90.00°
Space group C2/c (No. 15)
Asymmetric unit:
1 Pa 0.0000 0.0970 0.2500
2 Pd 0.0000 0.4300 0.2500
3 Pd 0.2483 0.4183 0.0045
4 Pt 0.1205 0.2396 0.6209

Calculated values
- D(E_F) (states/eV per cell) = 10.62
- total DFT energy (no corrections) (eV/atom) = -6.81
- ΔE_f (eV per atom) = -0.618
- offset from the most stable computed form (meV/atom) = 0

The following is a PBE calculation of a geometry-optimized Pr2CuBr structure, from Alexandria.

Cell: 4.1296 4.1296 23.3677 Å, 90.00 90.00 120.00°
Space group R3m (No. 160, hexagonal axes)
Asymmetric unit:
1 Pr 0.0000 0.0000 0.0000
2 Pr 0.0000 0.0000 0.1915
3 Cu 0.0000 0.0000 0.5962
4 Br 0.0000 0.0000 0.4280

Calculated values
- D(E_F) (states/eV per cell) = 10.96
- total DFT energy (no corrections) (eV/atom) = -4.46
- offset from the most stable computed form (meV/atom) = 21
- ΔE_f (raw) (eV per atom) = -0.63